1.
A plane-wave DFT calculation with PBE was carried out for an optimized crystal structure of NaSi2AgTe6.

Properties
- space group = C2/c (15)
- E_form (uncorrected) (eV/atom) = -0.097

```
20
Lattice="-2.144 3.076 -6.021 4.130 -5.511 -7.039 -7.884 -5.277 -2.641" Properties=species:S:1:pos:R:3 pbc="T T T"
Te -3.111 1.236 -5.595
Te -4.421 -0.930 -9.081
Te -5.442 -2.282 -5.602
Te -5.775 -7.372 -12.415
Te -1.476 -6.782 -6.620
Te 1.531 -3.936 -4.751
Te -2.787 -8.948 -10.106
Te -7.429 -3.776 -10.950
Te -4.451 -5.206 -8.934
Te -1.447 -2.505 -6.767
Te -0.456 -5.429 -10.099
Te -0.123 -0.339 -3.286
Si -5.304 -5.182 -11.350
Si -2.384 -6.757 -9.016
Si -3.514 -0.955 -6.685
Si -0.593 -2.529 -4.351
Ag -2.097 -3.114 -9.864
Ag -3.801 -4.598 -5.837
Na 1.827 -4.708 -7.897
Na -7.725 -3.004 -7.804
```


2.
A plane-wave DFT calculation with PBE was carried out for an optimized crystal structure of CePuAlGe.

Properties
- E_form (eV/atom) = -0.297
- space group = F-43m (216)

```
4
Lattice="-4.004 2.552 -1.836 -4.705 -1.211 1.520 -2.596 3.174 3.016" Properties=species:S:1:pos:R:3 pbc="T T T"
Ce -5.652 2.257 1.350
Al -2.826 1.129 0.675
Pu 0.000 0.000 0.000
Ge -8.479 3.386 2.025
```


| no. | DOS at the Fermi energy (states/eV/cell) | volume (Å³/f.u.) | M_tot (μB per cell) |
| --- | --- | --- | --- |
| 1 | 3.80 | 323 | 0.000 |
| 2 | 11.46 | 93 | 6.144 |